5
Lattice="3.9763 0.0000 0.0000 0.0000 3.9763 0.0000 0.0000 0.0000 6.7883" Properties=species:S:1:pos:R:3 comment="NiAgIO2 | Alexandria | PBE with a Hubbard U | optimized geometry" e_tot_ev_per_cell=-14.09 crystal_system=tetragonal e_above_lowest_polymorph_ev_per_atom=0.368 pbc="T T T"
Ni 0.0000 0.0000 0.0000
Ag 1.9881 1.9881 3.3942
I 1.9881 1.9881 0.0000
O 0.0000 1.9881 3.3942
O 1.9881 0.0000 3.3942